1.
11
Lattice="6.648 -0.030 0.112 -3.312 5.765 0.112 -1.123 -1.930 7.602" Properties=species:S:1:pos:R:3 comment="Mn2Tl2SbSe6, relaxed, DFT PBE" total_energy_ev_per_atom=-4.77 pbc="T T T"
Se 0.389 4.829 2.523
Se -1.792 1.080 5.304
Se 4.005 2.724 2.523
Se 0.691 1.189 2.437
Se 1.825 -1.024 5.304
Se 1.522 2.616 5.389
Tl -1.768 4.866 0.112
Tl 5.104 0.868 0.112
Mn -0.570 2.878 3.913
Mn 2.784 0.927 3.913
Sb -0.561 -0.965 3.801

2.
11
Lattice="-2.974 -1.277 -6.094 6.223 -2.644 1.376 -4.483 -4.819 4.637" Properties=species:S:1:pos:R:3 comment="MnTl2Sb2Se6, relaxed, DFT PBE" total_energy_ev_per_atom=-4.27 pbc="T T T"
Se 2.532 -4.710 -1.169
Se -0.182 -4.307 -3.374
Se -0.638 -2.330 0.360
Se -3.765 -4.029 1.088
Se -1.051 -4.433 3.293
Se -0.595 -6.409 -0.440
Mn -2.241 -2.409 2.318
Sb -2.176 -4.138 -1.307
Sb 0.943 -4.602 1.226
Tl -1.341 -1.519 -4.768
Tl 4.590 -2.401 0.050

3.
14
Lattice="7.034 0.000 0.175 0.000 6.850 0.000 -2.552 0.000 8.244" Properties=species:S:1:pos:R:3 comment="MnTlSbSe4, relaxed, DFT PBE" total_energy_ev_per_atom=-4.47 pbc="T T T"
Se 1.920 1.713 7.159
Se -1.541 3.407 6.090
Se 3.092 1.713 3.761
Se 1.391 5.138 4.658
Se 6.023 6.832 2.329
Se 2.562 5.138 1.260
Se 6.023 3.443 2.329
Se -1.541 0.018 6.090
Mn 0.550 5.138 2.529
Mn 3.932 1.713 5.890
Sb 0.360 1.713 5.027
Sb 4.122 5.138 3.392
Tl 2.793 5.138 7.736
Tl 1.690 1.713 0.683

4.
16
Lattice="-6.444 -1.728 4.891 -3.049 -5.788 -6.061 7.715 -1.072 2.789" Properties=species:S:1:pos:R:3 comment="MnTl4Sb3Se8, relaxed, DFT PBE" total_energy_ev_per_atom=-4.04 pbc="T T T"
Se 1.482 -2.652 1.016
Se -0.131 -4.925 -1.911
Se 0.544 -6.411 2.168
Se -1.648 -3.662 3.531
Se -5.745 -3.093 2.050
Se -3.261 -5.934 0.604
Se -2.322 -2.176 -0.548
Se 3.966 -5.493 -0.430
Tl 0.000 0.000 0.000
Tl 3.857 -0.536 1.395
Tl -3.222 -0.864 2.446
Tl 0.635 -1.400 3.840
Sb -4.747 -3.758 -0.585
Sb 2.333 -3.430 -1.636
Sb -0.889 -4.293 0.810
Mn -1.525 -2.894 -3.030

5.
5
Lattice="-3.311 3.439 -0.412 -3.954 -3.796 0.085 -0.232 0.349 4.773" Properties=species:S:1:pos:R:3 comment="YMnSb2Se, relaxed, DFT PBE" total_energy_ev_per_atom=-5.46 pbc="T T T"
Mn 0.000 0.000 0.000
Sb -0.116 0.174 2.387
Sb -1.655 1.720 -0.206
Se -1.977 -1.898 0.042
Y -3.749 -0.004 2.223

6.
4
Lattice="4.642 0.002 -0.016 -1.024 4.528 -0.016 0.384 0.481 3.027" Properties=species:S:1:pos:R:3 comment="Mn2SiSb, relaxed, DFT PBE" total_energy_ev_per_atom=-6.70 de_polymorph_mev_per_atom=242 pbc="T T T"
Mn 0.000 0.000 0.000
Mn 1.809 2.265 -0.016
Si -0.320 2.504 1.505
Sb 2.513 0.241 1.505

7.
4
Lattice="-4.184 0.934 -0.318 -3.694 -2.168 0.368 -1.050 0.867 4.678" Properties=species:S:1:pos:R:3 comment="Mn2SiSb, relaxed, DFT PBE" total_energy_ev_per_atom=-6.77 de_polymorph_mev_per_atom=170 pbc="T T T"
Si -2.232 -0.092 1.182
Mn -4.450 -0.219 2.189
Mn -7.894 -1.197 0.225
Sb -6.696 -0.275 3.546

8.
8
Lattice="-0.114 -3.172 2.396 1.909 -2.146 -2.751 8.292 -0.387 3.181" Properties=species:S:1:pos:R:3 comment="Mn2SiSb, relaxed, DFT PBE" total_energy_ev_per_atom=-6.58 de_polymorph_mev_per_atom=358 pbc="T T T"
Si 0.897 -2.659 -0.177
Si 5.549 -2.596 0.127
Mn 7.719 -4.865 2.176
Mn 2.245 -2.231 1.861
Mn 6.962 -2.363 2.152
Mn 3.247 -1.951 -0.537
Sb 0.000 0.000 0.000
Sb 4.538 -3.109 2.700

9.
5
Lattice="3.442 0.000 0.000 0.000 3.442 0.000 1.721 1.721 6.003" Properties=species:S:1:pos:R:3 comment="Mn2Si2Sb, relaxed, DFT PBE" total_energy_ev_per_atom=-6.76 pbc="T T T"
Mn 3.442 3.442 4.651
Mn 1.721 1.721 1.352
Si 1.721 3.442 3.002
Si 3.442 1.721 3.002
Sb 0.000 0.000 0.000

10.
6
Lattice="-1.197 -4.548 1.303 -4.696 -1.293 0.315 -1.916 -3.056 -3.288" Properties=species:S:1:pos:R:3 comment="Mn4SiSb, relaxed, DFT PBE" total_energy_ev_per_atom=-7.39 pbc="T T T"
Sb -1.952 -2.224 -0.417
Mn -4.885 -5.567 -1.044
Mn -4.284 -3.280 -1.700
Mn -3.922 -4.030 0.608
Mn -2.525 -4.917 -1.203
Si 0.000 0.000 0.000

11.
3
Lattice="5.294 -0.049 0.055 4.286 3.108 0.057 1.008 0.319 3.141" Properties=species:S:1:pos:R:3 comment="MnSiSb, relaxed, DFT PBE" total_energy_ev_per_atom=-6.02 de_polymorph_mev_per_atom=21 pbc="T T T"
Mn 1.278 0.406 3.046
Si 6.423 2.050 1.228
Sb 3.895 1.242 2.121

12.
3
Lattice="4.099 0.000 0.000 -2.049 3.550 0.000 0.000 0.000 3.775" Properties=species:S:1:pos:R:3 comment="MnSiSb, relaxed, DFT PBE" total_energy_ev_per_atom=-5.95 de_polymorph_mev_per_atom=82 pbc="T T T"
Sb 2.049 1.183 1.257
Mn 0.000 0.000 3.147
Si 0.000 2.366 3.146

13.
4
Lattice="-3.485 2.669 -0.224 -2.539 0.601 3.537 0.046 3.856 2.108" Properties=species:S:1:pos:R:3 comment="Mn2SiSb, relaxed, DFT PBE" total_energy_ev_per_atom=-6.50 de_polymorph_mev_per_atom=443 pbc="T T T"
Mn -1.494 1.782 1.355
Mn 0.000 0.000 0.000
Si -4.483 5.345 4.066
Sb -2.989 3.563 2.710

14.
4
Lattice="-2.484 -4.923 -3.118 1.656 -3.684 -4.880 1.824 2.966 5.291" Properties=species:S:1:pos:R:3 comment="Mn2SiSb, relaxed, DFT PBE" total_energy_ev_per_atom=-6.94 de_polymorph_mev_per_atom=0 pbc="T T T"
Si 1.566 -2.163 -1.471
Mn -0.548 -3.240 -1.015
Mn -0.061 -0.638 -0.592
Sb -0.375 -3.903 -3.626

15.
5
Lattice="4.934 0.000 0.000 0.000 4.934 0.000 0.000 0.000 4.934" Properties=species:S:1:pos:R:3 comment="Mn3SiSb, relaxed, DFT PBE" total_energy_ev_per_atom=-6.21 de_polymorph_mev_per_atom=775 pbc="T T T"
Mn 0.000 2.467 0.000
Mn 0.000 0.000 2.467
Mn 2.467 0.000 0.000
Sb 0.000 0.000 0.000
Si 2.467 2.467 2.467

16.
4
Lattice="6.319 0.033 0.020 5.266 3.493 0.020 5.266 1.603 3.103" Properties=species:S:1:pos:R:3 comment="Mn2SiSb, relaxed, DFT PBE" total_energy_ev_per_atom=-6.84 de_polymorph_mev_per_atom=96 pbc="T T T"
Mn 8.061 2.453 1.504
Mn 0.364 0.111 0.068
Sb 4.212 1.282 0.786
Si 12.637 3.846 2.358

17.
4
Lattice="-1.745 5.117 6.000 -0.479 2.782 7.567 1.321 4.922 6.265" Properties=species:S:1:pos:R:3 comment="Mn2SiSb, relaxed, DFT PBE" total_energy_ev_per_atom=-6.57 de_polymorph_mev_per_atom=371 pbc="T T T"
Mn -0.003 0.040 0.061
Mn -0.234 3.324 5.141
Si -0.663 9.418 14.568
Sb -0.454 6.450 9.977

18.
4
Lattice="3.393 0.000 0.000 0.000 3.393 0.000 0.000 0.000 5.267" Properties=species:S:1:pos:R:3 comment="Mn2SiSb, relaxed, DFT PBE" total_energy_ev_per_atom=-6.92 de_polymorph_mev_per_atom=18 pbc="T T T"
Sb 0.000 0.000 2.474
Mn 1.696 1.696 1.356
Mn 0.000 0.000 5.093
Si 1.696 1.696 4.244

19.
3
Lattice="3.188 0.000 0.000 -1.594 2.761 0.000 0.000 0.000 5.810" Properties=species:S:1:pos:R:3 comment="MnSiSb, relaxed, DFT PBE" total_energy_ev_per_atom=-6.02 de_polymorph_mev_per_atom=15 pbc="T T T"
Si 1.594 0.920 4.157
Mn 0.000 0.000 5.673
Sb 0.000 1.840 1.789

20.
4
Lattice="4.716 -0.001 0.001 3.633 3.008 0.001 0.929 0.334 4.133" Properties=species:S:1:pos:R:3 comment="Mn2SiSb, relaxed, DFT PBE" total_energy_ev_per_atom=-6.84 de_polymorph_mev_per_atom=95 pbc="T T T"
Mn 7.041 2.536 2.852
Mn 8.199 2.953 0.355
Sb 4.719 1.700 2.310
Si 2.308 0.831 0.688

| no. | ΔE_f (raw) (meV per atom) |
| --- | --- |
| 1 | -396 |
| 2 | -351 |
| 3 | -237 |
| 4 | -357 |
| 5 | 17 |
| 6 | 274 |
| 7 | 202 |
| 8 | 390 |
| 9 | -103 |
| 10 | 314 |
| 11 | 223 |
| 12 | 283 |
| 13 | 475 |
| 14 | 32 |
| 15 | 1201 |
| 16 | 128 |
| 17 | 403 |
| 18 | 50 |
| 19 | 216 |
| 20 | 127 |